Compound: Mg2SN
Source: Alexandria via LeMat-Bulk
Functional: PBE
Structure: optimized geometry

Cell: 6.026 6.026 6.026 Å, 90.00 90.00 90.00°
Space group Fm-3m (No. 225)
One atom of each set of equivalent atoms:
Mg  0.250  0.250  0.250 [8 per cell]
S  0.000  0.000  0.000 [4 per cell]
N  0.000  0.000  0.500 [4 per cell]

Output
- Calculated volume: 218.79 Å³ per cell
- Excess energy over the best structure of this formula in the dataset: 191 kJ/mol of formula units
- Raw formation energy: -0.084 eV per atom
- Total magnetic moment: 0.078 μB per atom
- Calculated density: 2.9 g/cm³